# Na3FeH

Crystalline Na3FeH at its relaxed geometry (GGA-PBE, the Alexandria database).

* uncorrected energy: -2.589 eV/atom
* size of the total moment: 0.619 μB per atom

a b c (Å): 4.735 4.735 4.735
angles (deg): 90.00 90.00 90.00
Space group Pm-3m (No. 221)
Asymmetric unit:
Na 0.000 0.000 0.500
Fe 0.500 0.500 0.500
H 0.000 0.000 0.000